1.
{
  "formula": "La3TlI2",
  "functional": "PBE",
  "state": "relaxed",
  "lattice_angstrom": [[-1.6265, -4.0076, -4.7123], [-2.8215, -5.6675, 5.7938], [-7.3365, 4.3066, -1.1303]],
  "species": ["La", "La", "La", "La", "La", "La", "Tl", "Tl", "I", "I", "I", "I"],
  "fractional_positions": [[0.9931, 0.8472, 0.4697], [0.4931, 0.5303, 0.1528], [0.9931, 0.4697, 0.8472], [0.4931, 0.1528, 0.5303], [0.4929, 0.8685, 0.8685], [0.9929, 0.1315, 0.1315], [0.9929, 0.8399, 0.8399], [0.4929, 0.1601, 0.1601], [0.4931, 0.7780, 0.4803], [0.9931, 0.5197, 0.2220], [0.4931, 0.4803, 0.7780], [0.9931, 0.2220, 0.5197]],
  "raw_formation_energy_ev_per_atom": -0.59,
  "e_tot_ev_per_atom": -3.966,
  "dos_ef_per_ev_cell": 11.1,
  "polymorph_energy_ev_per_atom": 0.142,
  "space_group": "Cmcm (63)",
  "magmom_total_mub_per_cell": 1.7
}


2.
{
  "formula": "ScCdCu2",
  "functional": "PBE",
  "state": "relaxed",
  "lattice_angstrom": [[3.6511, 0.0000, 0.0000], [0.0000, 4.3318, 0.0000], [0.0000, 0.0000, 4.3318]],
  "species": ["Cd", "Cu", "Cu", "Sc"],
  "fractional_positions": [[0.5000, 0.0000, 0.5000], [0.0000, 0.0000, 0.0000], [0.0000, 0.5000, 0.5000], [0.5000, 0.5000, 0.0000]],
  "e_tot_ev_per_atom": -3.928,
  "e_form_ev_per_atom": -0.068,
  "dos_ef_per_ev_cell": 2.4,
  "space_group": "P4/mmm (123)",
  "magmom_total_mub_per_cell": 0.0
}


3.
{
  "formula": "CsRbCrTe3",
  "functional": "PBE",
  "state": "relaxed",
  "lattice_angstrom": [[-1.0479, 7.4521, 0.8332], [-8.7276, -1.0696, -1.4104], [3.1553, -0.5645, 9.0172]],
  "species": ["Cs", "Cs", "Rb", "Rb", "Cr", "Cr", "Te", "Te", "Te", "Te", "Te", "Te"],
  "fractional_positions": [[0.7500, 0.1875, 0.3749], [0.2500, 0.8125, 0.6251], [0.2500, 0.4088, 0.8175], [0.7500, 0.5912, 0.1825], [0.2500, 0.0500, 0.1001], [0.7500, 0.9500, 0.8999], [0.2500, 0.1998, 0.3995], [0.0000, 0.1930, 0.0000], [0.5000, 0.8070, 0.0000], [0.5000, 0.1930, 0.0000], [0.0000, 0.8070, 0.0000], [0.7500, 0.8002, 0.6005]],
  "raw_formation_energy_ev_per_atom": -0.56,
  "e_tot_ev_per_atom": -4.036,
  "dos_ef_per_ev_cell": 9.2,
  "space_group": "Cmcm (63)",
  "magmom_total_mub_per_cell": 4.0
}


4.
{
  "formula": "MoHBr3",
  "functional": "PBE",
  "state": "relaxed",
  "lattice_angstrom": [[-3.5398, -2.7940, 1.2504], [2.4509, -3.7322, -1.4013], [1.8338, -0.4051, 4.2864]],
  "species": ["H", "Mo", "Br", "Br", "Br"],
  "fractional_positions": [[0.0000, 0.0000, 0.0000], [0.5000, 0.5000, 0.5000], [0.0000, 0.5000, 0.0000], [0.0000, 0.0000, 0.5000], [0.5000, 0.0000, 0.0000]],
  "e_tot_ev_per_atom": -2.910,
  "dos_ef_per_ev_cell": 5.0,
  "polymorph_energy_ev_per_atom": 0.615,
  "space_group": "Pm-3m (221)",
  "magmom_total_mub_per_cell": 3.9
}


5.
{
  "formula": "Sc2OsRu",
  "functional": "PBE",
  "state": "relaxed",
  "lattice_angstrom": [[1.7218, 0.0000, 9.1627], [-0.8609, 1.4911, 9.1627], [-0.8609, -1.4911, 9.1627]],
  "species": ["Sc", "Sc", "Ru", "Os"],
  "fractional_positions": [[0.9084, 0.9084, 0.9084], [0.0916, 0.0916, 0.0916], [0.5000, 0.5000, 0.5000], [0.0000, 0.0000, 0.0000]],
  "e_tot_ev_per_atom": -8.053,
  "e_form_ev_per_atom": 0.239,
  "dos_ef_per_ev_cell": 5.2,
  "space_group": "R-3m (166)",
  "magmom_total_mub_per_cell": 0.0
}


6.
{
  "formula": "Dy4ZnCuPd2",
  "functional": "PBE",
  "state": "relaxed",
  "lattice_angstrom": [[-1.3230, 2.4517, -4.1227], [-2.4648, -2.3649, -3.6180], [-8.3076, 2.0626, 0.8899]],
  "species": ["Dy", "Dy", "Dy", "Dy", "Zn", "Cu", "Pd", "Pd"],
  "fractional_positions": [[0.3768, 0.3768, 0.8695], [0.8732, 0.8732, 0.3805], [0.1268, 0.1268, 0.6195], [0.6232, 0.6232, 0.1305], [0.0000, 0.0000, 0.0000], [0.5000, 0.5000, 0.5000], [0.7477, 0.7477, 0.7570], [0.2523, 0.2523, 0.2430]],
  "e_tot_ev_per_atom": -4.864,
  "e_form_ev_per_atom": -0.593,
  "dos_ef_per_ev_cell": 3.9,
  "space_group": "R-3m (166)",
  "magmom_total_mub_per_cell": 0.0
}


7.
{
  "formula": "InAsAu2",
  "functional": "PBE",
  "state": "relaxed",
  "lattice_angstrom": [[-4.3138, 3.5670, -0.6986], [-3.9621, 1.4615, -3.7398], [-2.6096, -2.8334, 1.6598]],
  "species": ["As", "Au", "Au", "In"],
  "fractional_positions": [[0.2279, 0.2279, 0.1255], [0.9736, 0.9736, 0.1247], [0.7800, 0.7800, 0.6251], [0.5185, 0.5185, 0.6247]],
  "e_tot_ev_per_atom": -3.493,
  "e_form_ev_per_atom": -0.007,
  "dos_ef_per_ev_cell": 1.6,
  "space_group": "Amm2 (38)",
  "magmom_total_mub_per_cell": 0.0
}


8.
{
  "formula": "Y7Ru6",
  "functional": "PBE",
  "state": "relaxed",
  "lattice_angstrom": [[-3.8674, -5.7941, -6.1426], [2.4000, -5.3344, -7.2142], [0.2408, -8.9594, -2.4354]],
  "species": ["Y", "Y", "Y", "Y", "Y", "Y", "Y", "Ru", "Ru", "Ru", "Ru", "Ru", "Ru"],
  "fractional_positions": [[0.9341, 0.4180, 0.4180], [0.4180, 0.4180, 0.9341], [0.4180, 0.9341, 0.4180], [0.0659, 0.5820, 0.5820], [0.5820, 0.0659, 0.5820], [0.5820, 0.5820, 0.0659], [0.5000, 0.5000, 0.5000], [0.9512, 0.9512, 0.9512], [0.0488, 0.0488, 0.0488], [0.8578, 0.8578, 0.8578], [0.1422, 0.1422, 0.1422], [0.6658, 0.6658, 0.6658], [0.3342, 0.3342, 0.3342]],
  "e_tot_ev_per_atom": -7.145,
  "e_form_ev_per_atom": 0.617,
  "dos_ef_per_ev_cell": 13.6,
  "space_group": "R-3m (166)",
  "magmom_total_mub_per_cell": 0.0
}


Across the entries above, theoretical density takes the values 6.23 6.89 3.80 5.45 8.97 9.47 11.68 6.80 g/cm3, respectively.